# 1
PBE-GGA PrEuNiPd, optimized geometry; Fermi-level density of states = 8.6 states/eV/f.u.; formation enthalpy at 0 K = -1.60 eV per formula unit; M_tot = 7.083 μB/f.u.; uncorrected energy = -6.908 eV per atom
1.0
7.1590 0.0000 0.0000
0.0000 7.1590 0.0000
0.0000 0.0000 7.1590
Pr Eu Ni Pd
4 4 4 4
Direct
0.0000 0.0000 0.0000
0.0000 0.5000 0.5000
0.5000 0.0000 0.5000
0.5000 0.5000 0.0000
0.0000 0.0000 0.5000
0.0000 0.5000 0.0000
0.5000 0.0000 0.0000
0.5000 0.5000 0.5000
0.2500 0.2500 0.2500
0.2500 0.7500 0.7500
0.7500 0.2500 0.7500
0.7500 0.7500 0.2500
0.2500 0.2500 0.7500
0.2500 0.7500 0.2500
0.7500 0.2500 0.2500
0.7500 0.7500 0.7500



# 2
PBE-GGA SrEuNiPd, optimized geometry; Fermi-level density of states = 14.5 states/eV/f.u.; formation enthalpy at 0 K = -0.93 eV per formula unit; M_tot = 6.764 μB/f.u.; uncorrected energy = -5.966 eV per atom
1.0
7.2757 0.0000 0.0000
0.0000 7.2757 0.0000
0.0000 0.0000 7.2757
Sr Eu Ni Pd
4 4 4 4
Direct
0.0000 0.0000 0.0000
0.0000 0.5000 0.5000
0.5000 0.0000 0.5000
0.5000 0.5000 0.0000
0.0000 0.0000 0.5000
0.0000 0.5000 0.0000
0.5000 0.0000 0.0000
0.5000 0.5000 0.5000
0.2500 0.2500 0.2500
0.2500 0.7500 0.7500
0.7500 0.2500 0.7500
0.7500 0.7500 0.2500
0.2500 0.2500 0.7500
0.2500 0.7500 0.2500
0.7500 0.2500 0.2500
0.7500 0.7500 0.7500



# 3
PBE-GGA TbEuNiPd, optimized geometry; Fermi-level density of states = 8.4 states/eV/f.u.; formation enthalpy at 0 K = -1.79 eV per formula unit; M_tot = 7.108 μB/f.u.; uncorrected energy = -6.918 eV per atom
1.0
7.0191 0.0000 0.0000
0.0000 7.0191 0.0000
0.0000 0.0000 7.0191
Tb Eu Ni Pd
4 4 4 4
Direct
0.0000 0.0000 0.0000
0.0000 0.5000 0.5000
0.5000 0.0000 0.5000
0.5000 0.5000 0.0000
0.0000 0.0000 0.5000
0.0000 0.5000 0.0000
0.5000 0.0000 0.0000
0.5000 0.5000 0.5000
0.2500 0.2500 0.7500
0.2500 0.7500 0.2500
0.7500 0.2500 0.2500
0.7500 0.7500 0.7500
0.2500 0.2500 0.2500
0.2500 0.7500 0.7500
0.7500 0.2500 0.7500
0.7500 0.7500 0.2500



# 4
PBE-GGA EuYNiPd, optimized geometry; Fermi-level density of states = 8.5 states/eV/f.u.; formation enthalpy at 0 K = -1.78 eV per formula unit; M_tot = 7.095 μB/f.u.; uncorrected energy = -7.373 eV per atom
1.0
7.0196 0.0000 0.0000
0.0000 7.0196 0.0000
0.0000 0.0000 7.0196
Eu Y Ni Pd
4 4 4 4
Direct
0.0000 0.0000 0.0000
0.0000 0.5000 0.5000
0.5000 0.0000 0.5000
0.5000 0.5000 0.0000
0.0000 0.0000 0.5000
0.0000 0.5000 0.0000
0.5000 0.0000 0.0000
0.5000 0.5000 0.5000
0.2500 0.2500 0.2500
0.2500 0.7500 0.7500
0.7500 0.2500 0.7500
0.7500 0.7500 0.2500
0.2500 0.2500 0.7500
0.2500 0.7500 0.2500
0.7500 0.2500 0.2500
0.7500 0.7500 0.7500



# 5
PBE-GGA PmEu2Ni, optimized geometry; Fermi-level density of states = 13.2 states/eV/f.u.; formation enthalpy at 0 K = 0.11 eV per formula unit; M_tot = 14.180 μB/f.u.; energy above the lowest structure with this stoichiometry = 0.0 meV/atom; uncorrected energy = -7.743 eV per atom
1.0
3.5654 0.0000 0.0000
0.0000 3.5654 0.0000
0.0000 0.0000 9.1851
Pm Eu Ni
1 2 1
Direct
0.0000 0.0000 0.0000
0.5000 0.5000 0.3167
0.5000 0.5000 0.6833
0.0000 0.0000 0.5000



# 6
PBE-GGA PmEu2Ni, optimized geometry; Fermi-level density of states = 13.1 states/eV/f.u.; formation enthalpy at 0 K = 0.73 eV per formula unit; M_tot = 14.575 μB/f.u.; energy above the lowest structure with this stoichiometry = 153.9 meV/atom; uncorrected energy = -7.589 eV per atom
1.0
3.7396 0.0000 0.0000
-1.8698 3.2386 0.0000
0.0000 0.0000 31.8734
Pm Eu Ni
3 6 3
Direct
0.0000 0.0000 0.0000
0.3333 0.6667 0.6667
0.6667 0.3333 0.3333
0.0000 0.0000 0.1107
0.0000 0.0000 0.8893
0.3333 0.6667 0.5560
0.3333 0.6667 0.7774
0.6667 0.3333 0.2226
0.6667 0.3333 0.4440
0.0000 0.0000 0.5000
0.3333 0.6667 0.1667
0.6667 0.3333 0.8333



# 7
PBE-GGA Pm2EuNi, optimized geometry; Fermi-level density of states = 4.3 states/eV/f.u.; formation enthalpy at 0 K = -0.35 eV per formula unit; M_tot = 8.030 μB/f.u.; uncorrected energy = -6.476 eV per atom
1.0
3.5550 0.0000 0.0000
0.0000 3.5550 0.0000
0.0000 0.0000 9.2951
Pm Eu Ni
2 1 1
Direct
0.0000 0.0000 0.1749
0.0000 0.0000 0.8251
0.5000 0.5000 0.5000
0.5000 0.5000 0.0000



# 8
PBE-GGA PmEuNi4, optimized geometry; Fermi-level density of states = 13.7 states/eV/f.u.; formation enthalpy at 0 K = -1.61 eV per formula unit; M_tot = 6.812 μB/f.u.; uncorrected energy = -6.626 eV per atom
1.0
0.0000 3.6403 3.6403
3.6403 0.0000 3.6403
3.6403 3.6403 0.0000
Pm Eu Ni
1 1 4
Direct
0.0000 0.0000 0.0000
0.2500 0.2500 0.2500
0.1253 0.6249 0.6249
0.6249 0.1253 0.6249
0.6249 0.6249 0.1253
0.6249 0.6249 0.6249



# 9
PBE-GGA PmEuNiRu, optimized geometry; Fermi-level density of states = 10.0 states/eV/f.u.; formation enthalpy at 0 K = -0.05 eV per formula unit; M_tot = 6.596 μB/f.u.; uncorrected energy = -7.534 eV per atom
1.0
6.9626 0.0000 0.0000
0.0000 6.9626 0.0000
0.0000 0.0000 6.9626
Pm Eu Ni Ru
4 4 4 4
Direct
0.0000 0.0000 0.0000
0.0000 0.5000 0.5000
0.5000 0.0000 0.5000
0.5000 0.5000 0.0000
0.0000 0.0000 0.5000
0.0000 0.5000 0.0000
0.5000 0.0000 0.0000
0.5000 0.5000 0.5000
0.2500 0.2500 0.2500
0.2500 0.7500 0.7500
0.7500 0.2500 0.7500
0.7500 0.7500 0.2500
0.2500 0.2500 0.7500
0.2500 0.7500 0.2500
0.7500 0.2500 0.2500
0.7500 0.7500 0.7500



# 10
PBE-GGA PrEu2Ni, optimized geometry; Fermi-level density of states = 14.9 states/eV/f.u.; formation enthalpy at 0 K = 0.20 eV per formula unit; M_tot = 14.438 μB/f.u.; energy above the lowest structure with this stoichiometry = 32.3 meV/atom; uncorrected energy = -7.727 eV per atom
1.0
3.8759 0.0000 0.0000
-1.9380 3.3567 0.0000
0.0000 0.0000 29.5050
Pr Eu Ni
3 6 3
Direct
0.0000 0.0000 0.0000
0.3333 0.6667 0.6667
0.6667 0.3333 0.3333
0.0000 0.0000 0.2248
0.0000 0.0000 0.7752
0.3333 0.6667 0.4419
0.3333 0.6667 0.8915
0.6667 0.3333 0.1085
0.6667 0.3333 0.5581
0.0000 0.0000 0.5000
0.3333 0.6667 0.1667
0.6667 0.3333 0.8333



# 11
PBE-GGA PrEuNi2, optimized geometry; Fermi-level density of states = 8.6 states/eV/f.u.; formation enthalpy at 0 K = -0.52 eV per formula unit; M_tot = 7.057 μB/f.u.; energy above the lowest structure with this stoichiometry = 8.2 meV/atom; uncorrected energy = -6.784 eV per atom
1.0
6.9982 0.0000 0.0000
0.0000 6.9982 0.0000
0.0000 0.0000 6.9982
Pr Eu Ni
4 4 8
Direct
0.0000 0.0000 0.0000
0.0000 0.5000 0.5000
0.5000 0.0000 0.5000
0.5000 0.5000 0.0000
0.0000 0.0000 0.5000
0.0000 0.5000 0.0000
0.5000 0.0000 0.0000
0.5000 0.5000 0.5000
0.2500 0.2500 0.2500
0.2500 0.2500 0.7500
0.2500 0.7500 0.2500
0.2500 0.7500 0.7500
0.7500 0.2500 0.2500
0.7500 0.2500 0.7500
0.7500 0.7500 0.2500
0.7500 0.7500 0.7500



# 12
PBE-GGA PrEuNi2, optimized geometry; Fermi-level density of states = 11.0 states/eV/f.u.; formation enthalpy at 0 K = -0.55 eV per formula unit; M_tot = 7.054 μB/f.u.; energy above the lowest structure with this stoichiometry = 0.0 meV/atom; uncorrected energy = -6.792 eV per atom
1.0
3.5199 0.0000 0.0000
0.0000 3.5199 0.0000
0.0000 0.0000 7.0198
Pr Eu Ni
1 1 2
Direct
0.0000 0.0000 0.0000
0.0000 0.0000 0.5000
0.5000 0.5000 0.2285
0.5000 0.5000 0.7715



- What is the formula in the sixth record?
  PmEu2Ni



Copy entry 1 word for word.
PBE-GGA PrEuNiPd, optimized geometry; Fermi-level density of states = 8.6 states/eV/f.u.; formation enthalpy at 0 K = -1.60 eV per formula unit; M_tot = 7.083 μB/f.u.; uncorrected energy = -6.908 eV per atom
1.0
7.1590 0.0000 0.0000
0.0000 7.1590 0.0000
0.0000 0.0000 7.1590
Pr Eu Ni Pd
4 4 4 4
Direct
0.0000 0.0000 0.0000
0.0000 0.5000 0.5000
0.5000 0.0000 0.5000
0.5000 0.5000 0.0000
0.0000 0.0000 0.5000
0.0000 0.5000 0.0000
0.5000 0.0000 0.0000
0.5000 0.5000 0.5000
0.2500 0.2500 0.2500
0.2500 0.7500 0.7500
0.7500 0.2500 0.7500
0.7500 0.7500 0.2500
0.2500 0.2500 0.7500
0.2500 0.7500 0.2500
0.7500 0.2500 0.2500
0.7500 0.7500 0.7500



- Which of these has the lowest formation enthalpy at 0 K?
  TbEuNiPd